Here is ReP2F at its PBEsol-relaxed geometry from Alexandria via LeMat-Bulk. Energies are from meta-GGA SCAN.

POSCAR file:
```
ReP2F
1.0
0.000 2.933 2.933
2.933 0.000 2.933
2.933 2.933 0.000
Re P F
1 2 1
Direct
0.000 0.000 0.000
0.250 0.250 0.250
0.750 0.750 0.750
0.500 0.500 0.500
```

=====

Here is PRhF3 at its PBEsol-relaxed geometry from Alexandria via LeMat-Bulk. Energies are from meta-GGA SCAN.

POSCAR file:
```
PRhF3
1.0
4.111 0.000 0.000
0.000 4.111 0.000
0.000 0.000 4.111
P Rh F
1 1 3
Direct
0.000 0.000 0.000
0.500 0.500 0.500
0.000 0.500 0.500
0.500 0.000 0.500
0.500 0.500 0.000
```

=====

Here is PRh2F at its PBEsol-relaxed geometry from Alexandria via LeMat-Bulk. Energies are from meta-GGA SCAN.

POSCAR file:
```
PRh2F
1.0
0.000 2.846 2.846
2.846 0.000 2.846
2.846 2.846 0.000
P Rh F
1 2 1
Direct
0.000 0.000 0.000
0.250 0.250 0.250
0.750 0.750 0.750
0.500 0.500 0.500
```

=====

Here is P3RuF at its PBEsol-relaxed geometry from Alexandria via LeMat-Bulk. Energies are from meta-GGA SCAN.

POSCAR file:
```
P3RuF
1.0
4.503 0.000 0.000
0.000 4.503 0.000
0.000 0.000 4.503
P Ru F
3 1 1
Direct
0.000 0.000 0.500
0.000 0.500 0.000
0.500 0.000 0.000
0.000 0.000 0.000
0.500 0.500 0.500
```

=====

Here is YPRu2F at its PBEsol-relaxed geometry from Alexandria via LeMat-Bulk. Energies are from meta-GGA SCAN.

POSCAR file:
```
YPRu2F
1.0
4.179 0.000 0.000
0.000 4.179 0.000
0.000 0.000 4.377
Y P Ru F
1 1 2 1
Direct
0.000 0.000 0.000
0.500 0.500 0.000
0.000 0.500 0.500
0.500 0.000 0.500
0.000 0.000 0.500
```

=====

Here is PS2F at its PBEsol-relaxed geometry from Alexandria via LeMat-Bulk. Energies are from meta-GGA SCAN.

POSCAR file:
```
PS2F
1.0
0.000 2.943 2.943
2.943 0.000 2.943
2.943 2.943 0.000
P S F
1 2 1
Direct
0.000 0.000 0.000
0.250 0.250 0.250
0.750 0.750 0.750
0.500 0.500 0.500
```

=====

Here is PSF2 at its PBEsol-relaxed geometry from Alexandria via LeMat-Bulk. Energies are from meta-GGA SCAN.

POSCAR file:
```
PSF2
1.0
1.312 0.757 8.996
-1.312 0.757 8.996
0.000 -1.515 8.996
P S F
1 1 2
Direct
0.000 0.000 0.000
0.500 0.500 0.500
0.437 0.437 0.437
0.563 0.563 0.563
```

=====

Here is PSeS2F at its PBEsol-relaxed geometry from Alexandria via LeMat-Bulk. Energies are from meta-GGA SCAN.

POSCAR file:
```
PSeS2F
1.0
4.924 0.000 0.000
0.000 4.924 0.000
0.000 0.000 3.578
P Se S F
1 1 2 1
Direct
0.000 0.000 0.000
0.500 0.500 0.000
0.000 0.500 0.500
0.500 0.000 0.500
0.000 0.000 0.500
```

=====

Here is SiPS2F at its PBEsol-relaxed geometry from Alexandria via LeMat-Bulk. Energies are from meta-GGA SCAN.

POSCAR file:
```
SiPS2F
1.0
4.329 0.000 0.000
0.000 4.329 0.000
0.000 0.000 4.553
Si P S F
1 1 2 1
Direct
0.000 0.000 0.000
0.000 0.000 0.500
0.000 0.500 0.000
0.500 0.000 0.000
0.500 0.500 0.500
```

=====

Here is SnPS2F at its PBEsol-relaxed geometry from Alexandria via LeMat-Bulk. Energies are from meta-GGA SCAN.

POSCAR file:
```
SnPS2F
1.0
4.857 0.000 0.000
0.000 4.857 0.000
0.000 0.000 5.198
Sn P S F
1 1 2 1
Direct
0.000 0.000 0.000
0.000 0.000 0.500
0.000 0.500 0.000
0.500 0.000 0.000
0.500 0.500 0.500
```

=====

Here is Sc2PF at its PBEsol-relaxed geometry from Alexandria via LeMat-Bulk. Energies are from meta-GGA SCAN.

POSCAR file:
```
Sc2PF
1.0
1.954 1.128 6.421
-1.954 1.128 6.421
0.000 -2.257 6.421
Sc P F
2 1 1
Direct
0.105 0.105 0.105
0.895 0.895 0.895
0.500 0.500 0.500
0.000 0.000 0.000
```

=====

Here is Sc2PF at its PBEsol-relaxed geometry from Alexandria via LeMat-Bulk. Energies are from meta-GGA SCAN.

POSCAR file:
```
Sc2PF
1.0
1.516 0.875 8.393
-1.516 0.875 8.393
0.000 -1.750 8.393
Sc P F
2 1 1
Direct
0.099 0.099 0.099
0.901 0.901 0.901
0.000 0.000 0.000
0.500 0.500 0.500
```

=====

Here is ScP2F at its PBEsol-relaxed geometry from Alexandria via LeMat-Bulk. Energies are from meta-GGA SCAN.

POSCAR file:
```
ScP2F
1.0
0.000 3.100 3.100
3.100 0.000 3.100
3.100 3.100 0.000
Sc P F
1 2 1
Direct
0.000 0.000 0.000
0.250 0.250 0.250
0.750 0.750 0.750
0.500 0.500 0.500
```

=====

Here is PSe2F at its PBEsol-relaxed geometry from Alexandria via LeMat-Bulk. Energies are from meta-GGA SCAN.

POSCAR file:
```
PSe2F
1.0
1.713 0.989 7.439
-1.713 0.989 7.439
0.000 -1.977 7.439
P Se F
1 2 1
Direct
0.000 0.000 0.000
0.403 0.403 0.403
0.597 0.597 0.597
0.500 0.500 0.500
```

=====

Here is SiPF2 at its PBEsol-relaxed geometry from Alexandria via LeMat-Bulk. Energies are from meta-GGA SCAN.

POSCAR file:
```
SiPF2
1.0
-1.738 1.738 7.578
1.738 -1.738 7.578
1.738 1.738 -7.578
Si P F
2 2 4
Direct
0.000 0.000 0.000
0.750 0.250 0.500
0.250 0.750 0.500
0.500 0.500 0.000
0.118 0.125 0.493
0.375 0.882 0.007
0.632 0.625 0.507
0.875 0.368 0.993
```

=====

Here is SnPF2 at its PBEsol-relaxed geometry from Alexandria via LeMat-Bulk. Energies are from meta-GGA SCAN.

POSCAR file:
```
SnPF2
1.0
0.000 3.075 3.075
3.075 0.000 3.075
3.075 3.075 0.000
Sn P F
1 1 2
Direct
0.000 0.000 0.000
0.500 0.500 0.500
0.250 0.250 0.250
0.750 0.750 0.750
```

=====

Here is Sr2PF at its PBEsol-relaxed geometry from Alexandria via LeMat-Bulk. Energies are from meta-GGA SCAN.

POSCAR file:
```
Sr2PF
1.0
0.000 3.543 3.543
3.543 0.000 3.543
3.543 3.543 0.000
Sr P F
2 1 1
Direct
0.250 0.250 0.250
0.750 0.750 0.750
0.000 0.000 0.000
0.500 0.500 0.500
```

=====

Here is SrZrP2F at its PBEsol-relaxed geometry from Alexandria via LeMat-Bulk. Energies are from meta-GGA SCAN.

POSCAR file:
```
SrZrP2F
1.0
4.861 0.000 0.000
0.000 4.861 0.000
0.000 0.000 4.209
Sr Zr P F
1 1 2 1
Direct
0.000 0.000 0.000
0.500 0.500 0.000
0.000 0.500 0.500
0.500 0.000 0.500
0.000 0.000 0.500
```

=====

Here is TaP2F at its PBEsol-relaxed geometry from Alexandria via LeMat-Bulk. Energies are from meta-GGA SCAN.

POSCAR file:
```
TaP2F
1.0
-2.723 2.723 5.357
2.723 -2.723 5.357
2.723 2.723 -5.357
Ta P F
2 4 2
Direct
0.000 0.000 0.000
0.750 0.250 0.500
0.128 0.625 0.003
0.375 0.378 0.503
0.622 0.125 0.997
0.875 0.872 0.497
0.250 0.750 0.500
0.500 0.500 0.000
```

=====

Here is Ta2PF at its PBEsol-relaxed geometry from Alexandria via LeMat-Bulk. Energies are from meta-GGA SCAN.

POSCAR file:
```
Ta2PF
1.0
-3.169 3.169 2.844
3.169 -3.169 2.844
3.169 3.169 -2.844
Ta P F
4 2 2
Direct
0.077 0.125 0.452
0.375 0.923 0.048
0.673 0.625 0.548
0.875 0.327 0.952
0.250 0.750 0.500
0.500 0.500 0.000
0.000 0.000 0.000
0.750 0.250 0.500
```

=====

Here is Te2PF at its PBEsol-relaxed geometry from Alexandria via LeMat-Bulk. Energies are from meta-GGA SCAN.

POSCAR file:
```
Te2PF
1.0
1.568 0.905 9.337
-1.568 0.905 9.337
0.000 -1.811 9.337
Te P F
2 1 1
Direct
0.093 0.093 0.093
0.907 0.907 0.907
0.000 0.000 0.000
0.500 0.500 0.500
```

=====

Here is TeP2F at its PBEsol-relaxed geometry from Alexandria via LeMat-Bulk. Energies are from meta-GGA SCAN.

POSCAR file:
```
TeP2F
1.0
0.000 3.188 3.188
3.188 0.000 3.188
3.188 3.188 0.000
Te P F
1 2 1
Direct
0.000 0.000 0.000
0.250 0.250 0.250
0.750 0.750 0.750
0.500 0.500 0.500
```

=====

Here is ZrTeP2F at its PBEsol-relaxed geometry from Alexandria via LeMat-Bulk. Energies are from meta-GGA SCAN.

POSCAR file:
```
ZrTeP2F
1.0
5.090 0.000 0.000
0.000 5.090 0.000
0.000 0.000 4.041
Zr Te P F
1 1 2 1
Direct
0.000 0.000 0.000
0.500 0.500 0.500
0.000 0.500 0.000
0.500 0.000 0.000
0.000 0.000 0.500
```

=====

Here is TiP2F at its PBEsol-relaxed geometry from Alexandria via LeMat-Bulk. Energies are from meta-GGA SCAN.

POSCAR file:
```
TiP2F
1.0
0.000 2.990 2.990
2.990 0.000 2.990
2.990 2.990 0.000
Ti P F
1 2 1
Direct
0.000 0.000 0.000
0.250 0.250 0.250
0.750 0.750 0.750
0.500 0.500 0.500
```

=====

Here is TlPF6 at its PBEsol-relaxed geometry from Alexandria via LeMat-Bulk. Energies are from meta-GGA SCAN.

POSCAR file:
```
TlPF6
1.0
2.668 1.540 4.808
-2.668 1.540 4.808
0.000 -3.081 4.808
Tl P F
1 1 6
Direct
0.000 0.000 0.000
0.500 0.500 0.500
0.147 0.579 0.579
0.421 0.421 0.853
0.421 0.853 0.421
0.579 0.147 0.579
0.579 0.579 0.147
0.853 0.421 0.421
```

=====

Here is TlPF6 at its PBEsol-relaxed geometry from Alexandria via LeMat-Bulk. Energies are from meta-GGA SCAN.

POSCAR file:
```
TlPF6
1.0
7.786 0.000 0.000
0.000 7.786 0.000
0.000 0.000 7.786
Tl P F
4 4 24
Direct
0.000 0.000 0.000
0.000 0.500 0.500
0.500 0.000 0.500
0.500 0.500 0.000
0.000 0.000 0.500
0.000 0.500 0.000
0.500 0.000 0.000
0.500 0.500 0.500
0.070 0.132 0.647
0.070 0.368 0.147
0.132 0.647 0.070
0.132 0.853 0.570
0.147 0.070 0.368
0.147 0.430 0.868
0.353 0.570 0.368
0.353 0.930 0.868
0.368 0.147 0.070
0.368 0.353 0.570
0.430 0.632 0.647
0.430 0.868 0.147
0.570 0.132 0.853
0.570 0.368 0.353
0.632 0.647 0.430
0.632 0.853 0.930
0.647 0.070 0.132
0.647 0.430 0.632
0.853 0.570 0.132
0.853 0.930 0.632
0.868 0.147 0.430
0.868 0.353 0.930
0.930 0.632 0.853
0.930 0.868 0.353
```

=====

Here is ZrPW2F at its PBEsol-relaxed geometry from Alexandria via LeMat-Bulk. Energies are from meta-GGA SCAN.

POSCAR file:
```
ZrPW2F
1.0
4.110 0.000 0.000
0.000 4.110 0.000
0.000 0.000 4.460
Zr P W F
1 1 2 1
Direct
0.000 0.000 0.000
0.500 0.500 0.000
0.000 0.500 0.500
0.500 0.000 0.500
0.000 0.000 0.500
```

=====

Number 1: D(E_F) 0.2261 states/eV per atom, calculated volume 12.617 Å³/atom, formation energy from raw total energies -0.01 eV per formula unit. Number 2: D(E_F) 0.9964 states/eV per atom, calculated volume 13.892 Å³/atom, formation energy from raw total energies -2.67 eV per formula unit. Number 3: D(E_F) 0.5762 states/eV per atom, calculated volume 11.522 Å³/atom, formation energy from raw total energies -2.73 eV per formula unit. Number 4: D(E_F) 0.8779 states/eV per atom, calculated volume 18.256 Å³/atom, formation energy from raw total energies 2.20 eV per formula unit. Number 5: D(E_F) 0.9137 states/eV per atom, calculated volume 15.287 Å³/atom, formation energy from raw total energies -0.05 eV per formula unit. Number 6: D(E_F) 0.6904 states/eV per atom, calculated volume 12.739 Å³/atom, formation energy from raw total energies 1.46 eV per formula unit. Number 7: D(E_F) 0.2451 states/eV per atom, calculated volume 13.404 Å³/atom, formation energy from raw total energies -1.62 eV per formula unit. Number 8: D(E_F) 0.6268 states/eV per atom, calculated volume 17.353 Å³/atom, formation energy from raw total energies 4.82 eV per formula unit. Number 9: D(E_F) 0.5622 states/eV per atom, calculated volume 17.065 Å³/atom, formation energy from raw total energies 2.06 eV per formula unit. Number 10: D(E_F) 1.0156 states/eV per atom, calculated volume 24.522 Å³/atom, formation energy from raw total energies 3.80 eV per formula unit. Number 11: D(E_F) 0.2339 states/eV per atom, calculated volume 21.238 Å³/atom, formation energy from raw total energies -8.41 eV per formula unit. Number 12: D(E_F) 0.7686 states/eV per atom, calculated volume 16.693 Å³/atom, formation energy from raw total energies -3.92 eV per formula unit. Number 13: D(E_F) 0.4365 states/eV per atom, calculated volume 14.893 Å³/atom, formation energy from raw total energies -2.11 eV per formula unit. Number 14: D(E_F) 0.3896 states/eV per atom, calculated volume 18.893 Å³/atom, formation energy from raw total energies -0.63 eV per formula unit. Number 15: D(E_F) 0.1116 states/eV per atom, calculated volume 11.445 Å³/atom, formation energy from raw total energies -3.36 eV per formula unit. Number 16: D(E_F) 0.3109 states/eV per atom, calculated volume 14.539 Å³/atom, formation energy from raw total energies -2.10 eV per formula unit. Number 17: D(E_F) 0.0000 states/eV per atom, calculated volume 22.231 Å³/atom, formation energy from raw total energies -8.34 eV per formula unit. Number 18: D(E_F) 0.3414 states/eV per atom, calculated volume 19.895 Å³/atom, formation energy from raw total energies -2.49 eV per formula unit. Number 19: D(E_F) 0.5118 states/eV per atom, calculated volume 19.856 Å³/atom, formation energy from raw total energies 0.01 eV per formula unit. Number 20: D(E_F) 0.5243 states/eV per atom, calculated volume 14.284 Å³/atom, formation energy from raw total energies -1.84 eV per formula unit. Number 21: D(E_F) 0.5275 states/eV per atom, calculated volume 19.882 Å³/atom, formation energy from raw total energies -0.27 eV per formula unit. Number 22: D(E_F) 0.5924 states/eV per atom, calculated volume 16.199 Å³/atom, formation energy from raw total energies 0.91 eV per formula unit. Number 23: D(E_F) 0.3737 states/eV per atom, calculated volume 20.941 Å³/atom, formation energy from raw total energies -4.26 eV per formula unit. Number 24: D(E_F) 1.0170 states/eV per atom, calculated volume 13.371 Å³/atom, formation energy from raw total energies -1.65 eV per formula unit. Number 25: D(E_F) 0.0000 states/eV per atom, calculated volume 14.818 Å³/atom, formation energy from raw total energies -21.07 eV per formula unit. Number 26: D(E_F) 0.0000 states/eV per atom, calculated volume 14.749 Å³/atom, formation energy from raw total energies -21.07 eV per formula unit. Number 27: D(E_F) 0.6385 states/eV per atom, calculated volume 15.072 Å³/atom, formation energy from raw total energies 2.68 eV per formula unit.